Computed, not measured: a geometry-optimized BaTb4In3O12 structure at the PBE level of DFT.

Values from the calculation:
Symmetry: Im-3
ρ (g/cm3): 7.2
Crystal system: cubic
E_form (uncorrected) (eV/atom): -2.494

Cell: 7.3354 7.3354 7.3354 Å, 109.47 109.47 109.47°
Closest atoms and distances in Å follow each position.
Atoms (fractional coordinates):
Ba 0.0000 0.0000 0.0000  12 O 3.02
Tb 0.0000 0.0000 0.5000  6 O 2.29
Tb 0.0000 0.5000 0.0000  6 O 2.29
Tb 0.5000 0.0000 0.0000  6 O 2.29
Tb 0.5000 0.5000 0.5000  6 O 2.29
In 0.0000 0.5000 0.5000  4 O 2.13
In 0.5000 0.0000 0.5000  4 O 2.13
In 0.5000 0.5000 0.0000  4 O 2.13
O 0.1455 0.8310 0.3145  1 In 2.13, 2 Tb 2.29
O 0.1690 0.3145 0.4836  1 In 2.13, 2 Tb 2.29
O 0.1690 0.6855 0.8545  1 In 2.13, 2 Tb 2.29
O 0.3145 0.1455 0.8310  1 In 2.13, 2 Tb 2.29
O 0.3145 0.4836 0.1690  1 In 2.13, 2 Tb 2.29
O 0.4836 0.1690 0.3145  1 In 2.13, 2 Tb 2.29
O 0.5164 0.8310 0.6855  1 In 2.13, 2 Tb 2.29
O 0.6855 0.5164 0.8310  1 In 2.13, 2 Tb 2.29
O 0.6855 0.8545 0.1690  1 In 2.13, 2 Tb 2.29
O 0.8310 0.3145 0.1455  1 In 2.13, 2 Tb 2.29
O 0.8310 0.6855 0.5164  1 In 2.13, 2 Tb 2.29
O 0.8545 0.1690 0.6855  1 In 2.13, 2 Tb 2.29